# 1
! HfSi2Pd (PBE, relaxed); values from VASP
&SYSTEM
  ibrav = 0, nat = 8, ntyp = 3
/
ATOMIC_SPECIES
Hf 178.49 Hf.upf
Pd 106.42 Pd.upf
Si 28.09 Si.upf
ATOMIC_POSITIONS crystal
Hf 0.000 0.915 0.366
Hf 0.500 0.085 0.866
Pd 0.000 0.399 0.134
Pd 0.500 0.601 0.634
Si 0.500 0.662 0.140
Si 0.500 0.228 0.360
Si 0.000 0.338 0.640
Si 0.000 0.772 0.860
CELL_PARAMETERS angstrom
4.008 0.000 0.000
0.000 5.918 0.000
0.000 0.000 5.256
! VASP energy   -0.259 hartree per atom
! Symmetry   Pmn2_1, No. 31
! V   124.7 Å³ per cell

---

# 2
! Er2Fe3B4Ir2 (PBE, relaxed); values from VASP
&SYSTEM
  ibrav = 0, nat = 11, ntyp = 4
/
ATOMIC_SPECIES
B 10.81 B.upf
Er 167.26 Er.upf
Fe 55.84 Fe.upf
Ir 192.22 Ir.upf
ATOMIC_POSITIONS crystal
B 0.279 0.969 0.031
B 0.031 0.721 0.279
B 0.969 0.279 0.721
B 0.721 0.031 0.969
Er 0.637 0.637 0.363
Er 0.363 0.363 0.637
Fe 0.000 0.000 0.000
Fe 0.500 0.500 0.000
Fe 0.000 0.000 0.500
Ir 0.250 0.250 0.250
Ir 0.750 0.750 0.750
CELL_PARAMETERS angstrom
-4.710 0.686 5.530
-2.312 4.831 3.236
-5.238 -0.673 -0.555
! VASP energy   -0.281 hartree per atom
! Excess energy over the best structure of this formula in the dataset   30.3 kJ/mol of formula units
! Symmetry   Fmmm, No. 69
! V   138.4 Å³ per cell

---

# 3
! UTlAg (PBE, relaxed); values from VASP
&SYSTEM
  ibrav = 0, nat = 3, ntyp = 3
/
ATOMIC_SPECIES
Ag 107.87 Ag.upf
Tl 204.38 Tl.upf
U 238.03 U.upf
ATOMIC_POSITIONS crystal
Ag 0.250 0.250 0.250
Tl 0.750 0.750 0.750
U 0.000 0.000 0.000
CELL_PARAMETERS angstrom
0.000 3.549 3.549
3.549 0.000 3.549
3.549 3.549 0.000
! VASP energy   -0.168 hartree per atom
! Symmetry   F-43m, No. 216
! V   89.4 Å³ per cell